Compound: PmY2HoBr4
Source: Alexandria via LeMat-Bulk
Functional: GGA-PBE
Structure: optimized geometry

The uncorrected formation energy is -0.938 eV/atom.

The space group is Fmm2 (No. 42) and the conventional cell measures 7.1367, 11.8805 and 10.1422 Å, with angles of 90.00, 90.00 and 90.00 degrees. The distinct sites, in fractional coordinates, are Pm at (0.0000, 0.0000, 0.0000), Y at (0.2500, 0.2500, 0.3932), Ho at (0.0000, 0.0000, 0.5027), Br at (0.0000, 0.2491, 0.1432) and Br at (0.2478, 0.0000, 0.7517).

---

Compound: Ho2Ge3Ir5
Source: Alexandria via LeMat-Bulk
Functional: GGA-PBE
Structure: optimized geometry

The calculation puts the energy of formation at -0.6101 eV per atom.

The space group is Cmc2_1 (No. 36) and the conventional cell measures 4.1544, 24.2658 and 6.7555 Å, with angles of 90.00, 90.00 and 90.00 degrees. The distinct sites, in fractional coordinates, are Ho at (0.0000, 0.0217, 0.0000), Ho at (0.0000, 0.3254, 0.0149), Ge at (0.0000, 0.1113, 0.7327), Ge at (0.0000, 0.2663, 0.5267), Ge at (0.0000, 0.4554, 0.7933), Ir at (0.0000, 0.0997, 0.3448), Ir at (0.0000, 0.2064, 0.2309), Ir at (0.0000, 0.2080, 0.8285), Ir at (0.0000, 0.3684, 0.5510) and Ir at (0.0000, 0.4435, 0.1648).

---

Compound: BaCe3Pa4N12
Source: Alexandria via LeMat-Bulk
Functional: GGA-PBE
Structure: optimized geometry

The uncorrected formation energy is -1.327 eV/atom.

The space group is Im-3 (No. 204) and the conventional cell measures 8.6089, 8.6089 and 8.6089 Å, with angles of 90.00, 90.00 and 90.00 degrees. The distinct sites, in fractional coordinates, are Ba at (0.0000, 0.0000, 0.0000), Ce at (0.0000, 0.0000, 0.5000), Pa at (0.2500, 0.2500, 0.2500) and N at (0.0000, 0.1916, 0.3100).

---

Compound: Ca3Mg5Cl12
Source: Alexandria via LeMat-Bulk
Functional: GGA-PBE
Structure: optimized geometry

The uncorrected formation energy is -1.529 eV/atom.

The space group is Ia-3d (No. 230) and the conventional cell measures 16.5661, 16.5661 and 16.5661 Å, with angles of 90.00, 90.00 and 90.00 degrees. The distinct sites, in fractional coordinates, are Ca at (0.0000, 0.2500, 0.1250), Mg at (0.0000, 0.0000, 0.0000), Mg at (0.0000, 0.2500, 0.3750) and Cl at (0.0290, 0.0694, 0.6677).

---

Calculated DOS(E_F) (states/eV/cell), listed in the same order as above: 10.95 12.32 46.68 45.23